No. 1
VASP calculation (PBE) on crystalline Hf4NbPb at its relaxed geometry.

Computed properties:
The magnetization is 0.00 μB/f.u. The volume is 25.5 Å³ per atom. The space group is No. 123. As for the formation energy: 10.0 kcal/mol of atoms.

```
Hf4NbPb
1.0
-3.055 3.509 0.127
-3.497 -3.056 0.316
0.488 0.170 7.050
Hf Pb Nb
4 1 1
Cartesian
-4.885 -1.242 2.310
-1.609 -1.469 2.089
-1.391 -1.392 5.251
-4.667 -1.166 5.472
-2.784 0.410 7.258
-3.249 -2.959 3.828
```

No. 2
VASP calculation (PBE) on crystalline La3PmPd3 at its relaxed geometry.

Computed properties:
The magnetization is 0.00 μB/f.u. The volume is 27.5 Å³ per atom. The space group is No. 12. As for the formation energy: -14.5 kcal/mol of atoms.

```
La3PmPd3
1.0
7.095 1.331 0.288
-1.970 6.945 0.288
-0.423 -0.684 7.381
Pd La Pm
6 6 2
Cartesian
4.760 7.686 2.004
-1.167 2.736 5.829
1.733 7.418 2.128
2.969 0.174 5.829
-0.058 -0.094 5.953
5.869 4.856 2.128
1.493 2.410 4.688
-0.503 5.564 3.979
3.210 5.182 3.269
4.766 2.773 0.288
0.359 5.503 0.288
5.205 2.029 3.979
1.227 1.981 1.016
3.476 5.612 6.941
```

No. 3
VASP calculation (PBE) on crystalline Rb2Sn4AsAu3 at its relaxed geometry.

Computed properties:
The magnetization is 0.00 μB/f.u. The volume is 27.9 Å³ per atom. The space group is No. 115. As for the formation energy: -6.0 kcal/mol of atoms.

```
Rb2Sn4AsAu3
1.0
-2.108 3.748 2.451
-4.368 -1.121 -2.041
-2.281 -6.982 8.715
As Sn Au Rb
1 4 3 2
Cartesian
-4.378 -2.178 4.562
0.000 0.000 0.000
-2.483 -2.501 6.686
-3.035 -3.168 2.233
-3.238 1.313 0.205
-3.047 -4.228 8.842
-1.140 -3.491 4.357
-2.471 -1.441 0.078
-3.880 -5.754 5.461
-1.638 0.085 3.459
```

No. 4
VASP calculation (PBE) on crystalline ZnInCo2Pd at its relaxed geometry.

Computed properties:
The magnetization is 2.81 μB/f.u. The volume is 18.3 Å³ per atom. The space group is No. 123. As for the formation energy: 22.2 kcal/mol of atoms.

```
ZnInCo2Pd
1.0
4.358 0.000 0.000
0.000 4.813 0.000
0.000 0.000 4.358
Zn Pd In Co
1 1 1 2
Cartesian
0.000 0.000 0.000
2.179 2.406 2.179
0.000 2.406 0.000
0.000 0.000 2.179
2.179 0.000 0.000
```

No. 5
VASP calculation (PBE) on crystalline Pa2P6Pd21 at its relaxed geometry.

Computed properties:
The magnetization is 0.73 μB/f.u. The volume is 15.8 Å³ per atom. The space group is No. 225. As for the formation energy: -12.8 kcal/mol of atoms.

```
Pa2P6Pd21
1.0
7.490 0.000 4.324
2.497 7.062 4.324
0.000 0.000 8.649
Pd P Pa
21 6 2
Cartesian
0.000 0.000 2.981
0.000 0.000 5.668
2.581 0.000 1.490
4.993 6.018 8.649
7.338 2.702 8.649
0.860 2.434 7.158
6.166 4.360 6.619
5.769 2.434 4.324
1.636 4.628 5.815
4.218 4.628 4.324
4.993 1.044 8.649
1.636 4.628 2.834
6.166 4.360 10.679
2.581 0.000 7.158
0.000 0.000 0.000
0.860 2.434 1.490
2.649 4.360 8.649
4.909 0.000 2.834
4.909 0.000 5.815
3.821 2.702 10.679
3.821 2.702 6.619
3.797 5.223 6.577
7.386 5.223 8.649
6.190 1.839 10.721
3.797 5.223 10.721
6.190 1.839 6.577
2.601 1.839 8.649
2.497 1.765 4.324
7.490 5.296 12.973
```

No. 6
VASP calculation (PBE) on crystalline AsRu3N at its relaxed geometry.

Computed properties:
The magnetization is 0.00 μB/f.u. The volume is 13.4 Å³ per atom. The value obtained for the uncorrected formation energy is 0.36 eV per atom. The space group is No. 221.

```
AsRu3N
1.0
4.061 0.000 0.000
0.000 4.061 0.000
0.000 0.000 4.061
Ru As N
3 1 1
Cartesian
0.000 0.000 2.031
2.031 0.000 0.000
0.000 2.031 0.000
2.031 2.031 2.031
0.000 0.000 0.000
```

Number 1: density of states at the Fermi level 6.28 states/eV per cell. Number 2: density of states at the Fermi level 12.85 states/eV per cell. Number 3: density of states at the Fermi level 4.53 states/eV per cell. Number 4: density of states at the Fermi level 8.12 states/eV per cell. Number 5: density of states at the Fermi level 15.97 states/eV per cell. Number 6: density of states at the Fermi level 4.31 states/eV per cell.